Entry 1:
Computed, not measured: a relaxed structure of Rb3Mn2CdF9 at the GGA+U level of DFT.

The space group is P-3m1 (No. 164) and the conventional cell measures 6.1768, 6.1768 and 7.5743 Å, with angles of 90.00, 90.00 and 120.00 degrees. The inequivalent atoms are Rb at (0.0000, 0.0000, 0.0000), Rb at (0.3333, 0.6667, 0.6663), Mn at (0.3333, 0.6667, 0.1601), Cd at (0.0000, 0.0000, 0.5000), F at (0.0000, 0.5000, 0.0000) and F at (0.1714, 0.3427, 0.3260).

The final energy is -75.6 eV for the cell shown. As for the magnetization: 10.00 μB per cell.

Entry 2:
Computed, not measured: a relaxed structure of MnCdRhF6 at the GGA+U level of DFT.

The space group is P-31c (No. 163) and the conventional cell measures 5.5358, 5.5358 and 9.7825 Å, with angles of 90.00, 90.00 and 120.00 degrees. The inequivalent atoms are Mn at (0.3333, 0.6667, 0.2500), Cd at (0.0000, 0.0000, 0.0000), Rh at (0.3333, 0.6667, 0.7500) and F at (0.0021, 0.3420, 0.1322).

The final energy is -88.6 eV for the cell shown. As for the magnetization: 12.00 μB per cell.

Entry 3:
Computed, not measured: a relaxed structure of Mn2CdRuF at the GGA+U level of DFT.

The space group is P4/mmm (No. 123) and the conventional cell measures 5.280, 5.280 and 5.058 Å, with angles of 90.00, 90.00 and 90.00 degrees. The inequivalent atoms are Mn at (0.000, 0.500, 0.000), Cd at (0.000, 0.000, 0.000), Ru at (0.000, 0.000, 0.500) and F at (0.500, 0.500, 0.500).

The final energy is -21.5 eV for the cell shown. As for the magnetization: 12.52 μB per cell.

Entry 4:
Computed, not measured: a relaxed structure of ScMnCdF6 at the GGA+U level of DFT.

The space group is P-31c (No. 163) and the conventional cell measures 5.6780, 5.6780 and 10.7146 Å, with angles of 90.00, 90.00 and 120.00 degrees. The inequivalent atoms are Sc at (0.3333, 0.6667, 0.2500), Mn at (0.3333, 0.6667, 0.7500), Cd at (0.0000, 0.0000, 0.0000) and F at (0.0138, 0.3825, 0.1466).

The final energy is -103.5 eV for the cell shown. As for the magnetization: 8.45 μB per cell.

Entry 5:
Computed, not measured: a relaxed structure of SrMnCd2F8 at the GGA+U level of DFT.

The space group is I-4 (No. 82) and the conventional cell measures 5.572, 5.572 and 11.177 Å, with angles of 90.00, 90.00 and 90.00 degrees. The inequivalent atoms are Sr at (0.000, 0.000, 0.000), Mn at (0.000, 0.500, 0.250), Cd at (0.000, 0.000, 0.500), Cd at (0.000, 0.500, 0.750), F at (0.206, 0.736, 0.614) and F at (0.217, 0.274, 0.144).

The final energy is -117.5 eV for the cell shown. As for the magnetization: 10.00 μB per cell.

Entry 6:
Computed, not measured: a relaxed structure of SrMnCdF6 at the GGA+U level of DFT.

The space group is P4_2nm (No. 102) and the conventional cell measures 5.255, 5.255 and 10.724 Å, with angles of 90.00, 90.00 and 90.00 degrees. The inequivalent atoms are Sr at (0.000, 0.000, 0.000), Mn at (0.000, 0.000, 0.333), Cd at (0.000, 0.000, 0.668), F at (0.178, 0.178, 0.494), F at (0.196, 0.196, 0.183) and F at (0.211, 0.211, 0.825).

The final energy is -95.0 eV for the cell shown. As for the magnetization: 10.00 μB per cell.

Entry 7:
Computed, not measured: a relaxed structure of MnCdTeF2 at the GGA+U level of DFT.

The space group is P4/mmm (No. 123) and the conventional cell measures 4.138, 4.138 and 6.225 Å, with angles of 90.00, 90.00 and 90.00 degrees. The inequivalent atoms are Mn at (0.000, 0.000, 0.000), Cd at (0.500, 0.500, 0.500), Te at (0.000, 0.000, 0.500) and F at (0.000, 0.500, 0.000).

The final energy is -23.0 eV for the cell shown. As for the magnetization: 4.89 μB per cell.

Entry 8:
Computed, not measured: a relaxed structure of Mn2Tl3CdF9 at the GGA+U level of DFT.

The space group is P-3m1 (No. 164) and the conventional cell measures 6.1774, 6.1774 and 7.5725 Å, with angles of 90.00, 90.00 and 120.00 degrees. The inequivalent atoms are Mn at (0.3333, 0.6667, 0.1597), Tl at (0.0000, 0.0000, 0.0000), Tl at (0.3333, 0.6667, 0.6659), Cd at (0.0000, 0.0000, 0.5000), F at (0.0000, 0.5000, 0.0000) and F at (0.1715, 0.3429, 0.3258).

The final energy is -73.5 eV for the cell shown. As for the magnetization: 10.00 μB per cell.